## one
Li6NiOF6: relaxed, PBE+U. Values from VASP.

Cell and atoms, written as Quantum ESPRESSO input:
```
&SYSTEM
  ibrav = 0, nat = 14, ntyp = 4
/
ATOMIC_SPECIES
F 19.00 F.upf
Li 6.94 Li.upf
O 16.00 O.upf
Ni 58.69 Ni.upf
CELL_PARAMETERS angstrom
-1.345 -1.893 1.743
2.042 -1.982 -0.577
7.441 6.703 10.604
ATOMIC_POSITIONS angstrom
F 2.600 -0.560 3.817
Li 6.657 4.073 9.561
Li 5.879 1.446 8.526
O 0.348 -1.938 0.583
Li 3.696 0.110 5.391
Ni 0.000 0.000 0.000
F 1.169 0.715 1.678
F 6.969 2.113 10.091
F 5.537 3.388 7.952
F 4.789 0.779 6.960
Li 4.442 2.717 6.379
Li 1.480 -1.245 2.208
Li 2.259 1.382 3.244
F 3.349 2.049 4.809
```

=====

## two
Li6NiOF6: relaxed, PBE+U. Values from VASP.

Cell and atoms, written as Quantum ESPRESSO input:
```
&SYSTEM
  ibrav = 0, nat = 14, ntyp = 4
/
ATOMIC_SPECIES
F 19.00 F.upf
Li 6.94 Li.upf
O 16.00 O.upf
Ni 58.69 Ni.upf
CELL_PARAMETERS angstrom
2.974 0.000 0.000
0.000 3.992 0.000
-1.487 -1.996 10.353
ATOMIC_POSITIONS angstrom
F 0.000 1.996 4.450
Li 1.487 1.996 5.941
Li 1.487 1.996 3.082
O 1.487 0.000 0.000
F 1.487 0.000 8.812
F 0.000 1.996 7.327
Li 0.000 0.000 7.271
Li 1.487 1.996 8.969
Ni 1.487 1.996 0.000
F 1.487 0.000 3.026
Li 0.000 0.000 1.384
F 1.487 0.000 5.903
F 0.000 1.996 1.541
Li 0.000 0.000 4.413
```

=====

Most favorable structure: one. The second most favorable one is 5.7 kJ/mol of atoms above it.

=====

## one
LiNiPO4F: relaxed, PBE+U. Values from VASP.

Cell and atoms, written as Quantum ESPRESSO input:
```
&SYSTEM
  ibrav = 0, nat = 16, ntyp = 5
/
ATOMIC_SPECIES
Ni 58.69 Ni.upf
O 16.00 O.upf
F 19.00 F.upf
Li 6.94 Li.upf
P 30.97 P.upf
CELL_PARAMETERS angstrom
4.752 -0.971 -0.098
-1.718 5.143 0.443
-1.299 -1.554 8.515
ATOMIC_POSITIONS angstrom
Ni 0.000 0.000 0.000
O 1.898 0.905 2.783
F 0.716 -0.548 4.656
O -1.936 2.504 7.626
Li -0.273 4.167 3.343
Ni 0.867 1.309 4.430
O -1.338 3.640 1.831
F 1.018 3.166 4.203
Li 2.007 -1.548 5.516
O 3.072 -1.022 7.028
P 2.789 1.283 1.602
O 3.670 0.115 1.234
O -0.061 1.240 8.632
O -0.164 1.714 6.077
P -1.055 1.335 7.258
O 1.795 1.379 0.228
```

=====

## two
LiNiPO4F: relaxed, PBE+U. Values from VASP.

Cell and atoms, written as Quantum ESPRESSO input:
```
&SYSTEM
  ibrav = 0, nat = 16, ntyp = 5
/
ATOMIC_SPECIES
F 19.00 F.upf
Ni 58.69 Ni.upf
O 16.00 O.upf
P 30.97 P.upf
Li 6.94 Li.upf
CELL_PARAMETERS angstrom
5.141 -0.187 -0.087
-0.927 5.356 -0.008
-1.992 -2.531 6.539
ATOMIC_POSITIONS angstrom
F 2.967 -1.649 4.774
Ni 0.000 0.000 0.000
F -0.744 4.288 1.671
O -0.531 2.735 3.859
O 1.854 0.794 0.344
O -0.006 0.285 4.254
O -2.013 1.371 5.424
Ni -0.996 -1.265 3.270
P -0.581 1.578 4.882
P 2.804 1.061 1.563
O 2.754 -0.096 2.586
Li 0.317 2.779 1.989
O 4.235 1.267 1.021
O 2.229 2.353 2.191
O 0.368 1.845 6.101
Li 1.906 -0.140 4.456
```

=====

## three
LiNiPO4F: relaxed, PBE+U. Values from VASP.

Cell and atoms, written as Quantum ESPRESSO input:
```
&SYSTEM
  ibrav = 0, nat = 16, ntyp = 5
/
ATOMIC_SPECIES
O 16.00 O.upf
Li 6.94 Li.upf
Ni 58.69 Ni.upf
F 19.00 F.upf
P 30.97 P.upf
CELL_PARAMETERS angstrom
-0.868 -3.822 -3.419
4.671 1.668 -1.891
1.004 -3.193 6.448
ATOMIC_POSITIONS angstrom
O 3.006 -2.441 -1.280
O 1.254 -5.383 2.653
O 0.697 -3.412 -0.062
O 1.801 -2.905 2.418
Li 2.727 -2.114 4.129
Ni 0.000 0.000 0.000
O 3.339 -1.548 -3.491
O 3.553 0.036 -1.515
F 3.072 -4.514 0.491
P 3.878 -1.395 -2.045
O 4.110 -1.935 1.200
O 1.469 -3.798 4.629
Ni 2.404 -2.673 0.569
P 0.929 -3.952 3.183
F 1.735 -0.832 0.647
Li 2.080 -3.232 -2.991
```

=====

Most favorable structure: two. The second most favorable one is 2.1 kJ/mol of atoms above it.